[1]
8
Lattice="-1.692 -5.815 -0.781 3.588 -4.438 1.401 -3.829 -2.580 3.636" Properties=species:S:1:pos:R:3 comment="CsAg2SeO4 PBE optimized geometry" crystal_system=orthorhombic formation_energy_uncorrected_mev_per_atom=-592 energy_ev_per_atom=-4.33 mass_density_g_cm3=5.49 pbc="T T T"
Ag 0.876 -6.878 1.573
Ag -2.808 -5.955 2.683
O -0.790 -8.407 0.608
O 0.822 -4.918 3.056
O -2.274 -8.313 3.126
O -1.623 -4.027 1.722
Cs 0.000 0.000 0.000
Se -0.120 -3.509 2.519

=====

[2]
20
Lattice="8.082 0.251 0.405 -0.740 8.052 0.405 -1.689 -1.910 6.143" Properties=species:S:1:pos:R:3 comment="CsAgSe2O6 PBE optimized geometry" crystal_system=monoclinic formation_energy_uncorrected_mev_per_atom=-740 energy_ev_per_atom=-4.78 mass_density_g_cm3=3.98 pbc="T T T"
Ag 3.871 3.124 1.940
Ag 1.782 3.269 5.012
Cs 4.991 0.431 5.012
Cs 0.662 5.962 1.940
O 4.157 3.402 4.142
O 3.712 5.497 1.070
O 0.033 0.362 3.972
O 1.200 1.032 0.900
O 1.941 0.896 5.882
O 7.158 2.969 1.951
O 1.226 6.513 5.022
O 5.620 6.031 2.981
O 4.427 -0.120 1.930
O 1.496 2.991 2.811
O -1.505 3.424 5.002
O 4.453 5.361 6.052
Se 0.958 -0.362 5.237
Se 5.285 4.532 4.787
Se 0.368 1.861 2.165
Se 4.695 6.755 1.716

=====

[3]
11
Lattice="5.675 0.000 0.000 -2.837 6.858 -0.065 0.000 -4.086 6.812" Properties=species:S:1:pos:R:3 comment="Cs2AgSe2O6 PBE optimized geometry" crystal_system=monoclinic formation_energy_uncorrected_mev_per_atom=-1038 energy_ev_per_atom=-4.79 mass_density_g_cm3=3.95 pbc="T T T"
O 4.272 -2.120 5.082
O 0.000 0.346 2.337
O 2.837 2.426 4.409
O -1.435 4.893 1.664
O 1.435 4.893 1.664
O 1.403 -2.120 5.082
Ag 2.837 -2.043 3.406
Se 0.000 -3.064 5.469
Se 2.837 5.837 1.277
Cs 0.000 0.806 5.283
Cs 2.837 1.967 1.463

=====

[4]
16
Lattice="5.577 0.000 0.000 2.789 6.171 0.000 2.789 0.000 10.848" Properties=species:S:1:pos:R:3 comment="Cs2SiAgO4 PBE optimized geometry" crystal_system=orthorhombic formation_energy_uncorrected_mev_per_atom=-1604 energy_ev_per_atom=-5.33 mass_density_g_cm3=4.14 pbc="T T T"
O 3.178 2.115 4.526
O 4.573 0.970 9.951
O 9.371 5.201 9.951
O 4.573 5.201 0.898
O 5.188 2.115 6.322
O 5.188 4.055 4.526
O 8.756 4.055 6.322
O 3.793 0.970 0.898
Si 2.789 0.000 0.000
Si 4.183 3.085 5.424
Cs 5.577 0.000 3.800
Cs 2.789 0.000 7.048
Cs 6.972 3.085 9.225
Cs 6.972 3.085 1.624
Ag 6.972 3.085 5.424
Ag 0.000 0.000 0.000

=====

[5]
36
Lattice="6.602 0.000 0.000 0.000 9.897 0.002 0.000 0.789 11.849" Properties=species:S:1:pos:R:3 comment="Cs5Si3AgO9 PBE optimized geometry" crystal_system=monoclinic formation_energy_uncorrected_mev_per_atom=-2167 energy_ev_per_atom=-5.95 mass_density_g_cm3=4.29 pbc="T T T"
Cs 1.650 2.747 8.086
Cs 4.951 7.939 3.766
Cs 1.650 0.755 4.502
Cs 4.951 3.433 10.262
Cs 1.650 3.392 0.761
Cs 1.650 7.254 1.590
Cs 1.650 4.900 4.704
Cs 4.951 5.786 7.148
Cs 4.951 9.931 7.350
Cs 4.951 7.295 11.091
O 6.316 5.316 2.068
O 4.951 2.995 1.733
O 0.273 10.026 9.914
O 6.329 0.660 1.938
O 4.951 4.219 4.126
O 3.020 7.887 5.874
O 1.650 9.140 7.836
O 4.951 1.546 4.016
O 1.650 7.692 10.119
O 6.321 2.799 5.977
O 1.650 6.467 7.726
O 3.574 0.660 1.938
O 0.281 7.887 5.874
O 0.286 5.370 9.784
O 3.587 5.316 2.068
O 3.028 10.026 9.914
O 3.015 5.370 9.784
O 3.582 2.799 5.977
Si 4.951 1.447 2.360
Si 4.951 2.848 5.121
Si 1.650 6.142 9.380
Si 4.951 4.544 2.472
Si 1.650 9.239 9.491
Si 1.650 7.838 6.731
Ag 0.000 0.000 0.000
Ag 3.301 0.000 0.000

=====

[6]
5
Lattice="-0.914 5.505 -4.413 -2.863 -2.006 -1.909 -4.860 2.734 4.417" Properties=species:S:1:pos:R:3 comment="Cs2AgSnO PBE optimized geometry" crystal_system=tetragonal formation_energy_uncorrected_mev_per_atom=-117 energy_ev_per_atom=-2.82 mass_density_g_cm3=4.19 pbc="T T T"
Ag 0.000 0.000 0.000
Cs -0.457 2.752 -2.206
Cs -2.430 1.367 2.209
Sn -4.318 3.117 -0.952
O -1.432 -1.003 -0.955

=====

[7]
14
Lattice="6.545 0.000 0.000 3.272 5.668 0.000 3.272 1.889 7.323" Properties=species:S:1:pos:R:3 comment="Cs2AgSn3O8 PBE optimized geometry" crystal_system=trigonal formation_energy_uncorrected_mev_per_atom=-1377 energy_ev_per_atom=-5.39 mass_density_g_cm3=5.24 pbc="T T T"
O 8.010 4.625 1.329
O 5.079 4.625 1.329
O 3.272 1.889 1.330
O 8.061 2.903 6.488
O 9.817 5.668 6.414
O 5.028 2.903 6.488
O 6.545 5.529 6.488
O 6.545 2.086 1.329
Sn 6.545 5.661 0.217
Sn 4.914 2.837 0.217
Sn 8.175 2.837 0.217
Cs 6.545 3.778 3.841
Cs 3.272 1.889 4.305
Ag 9.817 5.668 0.441

=====

[8]
16
Lattice="5.637 0.000 0.000 2.819 6.548 0.000 2.819 0.000 10.987" Properties=species:S:1:pos:R:3 comment="Cs2TaAgO4 PBE optimized geometry" crystal_system=orthorhombic formation_energy_uncorrected_mev_per_atom=-1803 energy_ev_per_atom=-6.33 mass_density_g_cm3=5.07 pbc="T T T"
O 3.155 2.143 4.428
O 9.529 5.417 9.922
O 5.301 2.143 6.559
O 4.564 1.132 9.922
O 5.301 4.406 4.428
O 8.792 4.406 6.559
O 3.892 1.132 1.066
O 4.564 5.417 1.066
Ta 4.228 3.274 5.494
Ta 2.819 0.000 0.000
Ag 7.047 3.274 5.494
Ag 0.000 0.000 0.000
Cs 7.047 3.274 9.276
Cs 5.637 0.000 3.783
Cs 2.819 0.000 7.204
Cs 7.047 3.274 1.711

=====

[9]
12
Lattice="-0.581 0.062 -3.999 0.201 -4.036 -0.091 -12.385 -2.632 -0.284" Properties=species:S:1:pos:R:3 comment="Cs2Ta2AgO7 PBE optimized geometry" crystal_system=tetragonal formation_energy_uncorrected_mev_per_atom=-2045 energy_ev_per_atom=-7.29 mass_density_g_cm3=6.98 pbc="T T T"
O -10.722 -2.497 -2.564
O -0.190 -1.987 -2.045
O -8.653 -4.410 -2.894
O -2.043 -4.109 -1.810
O -4.112 -2.196 -1.480
O -10.331 -4.545 -0.611
O -2.434 -2.061 -3.763
Cs -7.818 -2.389 -0.942
Cs -4.947 -4.217 -3.432
Ag 0.000 0.000 0.000
Ta -2.237 -2.096 -1.751
Ta -10.528 -4.510 -2.624

=====

[10]
12
Lattice="-3.127 -0.476 -1.786 -1.056 -6.416 3.560 -4.047 7.749 5.019" Properties=species:S:1:pos:R:3 comment="CsTbAgO3 PBE optimized geometry" crystal_system=monoclinic formation_energy_uncorrected_mev_per_atom=-1675 energy_ev_per_atom=-5.54 mass_density_g_cm3=5.89 pbc="T T T"
O -3.113 -1.675 4.050
O -5.117 2.531 2.743
O -5.002 3.336 6.020
O -3.228 -2.480 0.773
O -4.156 5.344 4.003
O -4.075 -4.488 2.790
Cs -6.141 0.584 5.055
Cs -2.089 0.273 1.738
Tb -2.033 -3.343 2.604
Tb -6.197 4.199 4.189
Ag -4.960 -2.635 3.845
Ag -3.270 3.491 2.948

=====

[11]
14
Lattice="6.386 0.000 0.000 -3.193 5.531 0.000 0.000 0.000 8.420" Properties=species:S:1:pos:R:3 comment="Cs3Tc2AgO8 PBE optimized geometry" crystal_system=trigonal formation_energy_uncorrected_mev_per_atom=-1439 energy_ev_per_atom=-6.14 mass_density_g_cm3=4.64 pbc="T T T"
Tc 3.193 1.844 6.490
Tc 0.000 3.687 1.930
O 1.731 0.999 5.846
O 3.193 1.844 8.258
O 0.000 1.999 2.574
O -1.462 4.531 2.574
O 1.462 4.531 2.574
O 4.655 0.999 5.846
O 0.000 3.687 0.162
O 3.193 3.532 5.846
Cs 0.000 3.687 5.607
Cs 3.193 1.844 2.813
Cs 0.000 0.000 0.000
Ag 0.000 0.000 4.210

=====

[12]
12
Lattice="6.024 0.000 0.000 3.012 5.826 0.159 3.012 2.283 7.074" Properties=species:S:1:pos:R:3 comment="CsTc2AgO8 PBE optimized geometry" crystal_system=monoclinic formation_energy_uncorrected_mev_per_atom=-1380 energy_ev_per_atom=-6.72 mass_density_g_cm3=3.81 pbc="T T T"
O 3.012 3.128 2.297
O 9.036 4.981 4.936
O 6.024 3.501 0.581
O 7.618 7.341 5.726
O 6.024 4.608 6.652
O 4.430 0.767 1.507
O 10.455 7.341 5.726
O 1.594 0.767 1.507
Ag 0.000 0.000 0.000
Cs 6.024 4.054 3.617
Tc 9.036 6.343 6.011
Tc 3.012 1.766 1.222

=====

[13]
16
Lattice="-3.500 -0.649 -4.835 -1.795 -6.887 -1.505 -10.609 0.612 3.869" Properties=species:S:1:pos:R:3 comment="Cs2AgTeO4 PBE optimized geometry" crystal_system=orthorhombic formation_energy_uncorrected_mev_per_atom=-926 energy_ev_per_atom=-4.37 mass_density_g_cm3=4.33 pbc="T T T"
O -10.874 -0.833 1.973
O -6.950 -4.672 -1.381
O -3.673 -5.838 -2.568
O -5.576 -2.099 0.172
O -8.562 -2.179 -0.548
O -14.011 -5.650 -1.730
O -10.721 -4.897 -3.185
O -3.251 -1.525 -2.617
Ag 0.000 0.000 0.000
Ag -8.827 -3.624 -2.444
Cs -7.500 0.283 1.663
Cs -6.609 -0.320 -2.629
Cs -5.718 -3.952 -4.651
Cs -11.937 -3.295 -0.238
Te -1.750 -0.324 -2.418
Te -7.077 -3.300 -0.027

=====

[14]
14
Lattice="6.307 0.000 0.121 0.000 6.717 0.000 -2.315 0.000 7.496" Properties=species:S:1:pos:R:3 comment="CsAgTeO4 PBE optimized geometry" crystal_system=monoclinic formation_energy_uncorrected_mev_per_atom=-923 energy_ev_per_atom=-4.73 mass_density_g_cm3=4.50 pbc="T T T"
Cs 1.672 1.679 0.437
Cs 2.320 5.038 7.180
O 1.922 1.679 6.447
O 2.070 5.038 1.171
O -0.284 6.486 2.370
O 2.212 1.679 3.428
O 4.276 3.127 5.248
O -0.284 3.589 2.370
O 4.276 0.231 5.248
O 1.780 5.038 4.190
Te 3.113 1.679 5.040
Te 0.879 5.038 2.578
Ag -0.214 1.679 3.796
Ag 4.206 5.038 3.822

=====

[15]
5
Lattice="-3.733 1.890 2.280 -3.304 -4.277 -1.864 1.090 -2.535 3.885" Properties=species:S:1:pos:R:3 comment="CsAg2TeO PBE optimized geometry" crystal_system=tetragonal formation_energy_uncorrected_mev_per_atom=-1 energy_ev_per_atom=-2.93 mass_density_g_cm3=6.30 pbc="T T T"
Ag 0.545 -1.267 1.942
Ag -1.866 0.945 1.140
O 0.000 0.000 0.000
Te -2.973 -2.461 2.150
Cs -1.652 -2.138 -0.932

=====

[16]
15
Lattice="6.154 0.000 0.000 -3.077 5.329 0.000 0.000 0.000 7.737" Properties=species:S:1:pos:R:3 comment="Cs3AgTe2O9 PBE optimized geometry" crystal_system=trigonal formation_energy_uncorrected_mev_per_atom=-833 energy_ev_per_atom=-4.59 mass_density_g_cm3=5.93 pbc="T T T"
Cs 3.077 1.776 2.711
Cs 0.000 3.553 5.026
Cs 0.000 0.000 0.000
O 1.378 4.348 2.267
O -1.378 4.348 2.267
O -1.538 2.665 0.000
O 1.538 2.665 0.000
O 3.077 3.367 5.470
O 4.455 0.981 5.470
O 3.077 0.000 0.000
O 0.000 1.962 2.267
O 1.699 0.981 5.470
Te 3.077 1.776 6.543
Te 0.000 3.553 1.193
Ag 0.000 0.000 3.868

=====

[17]
12
Lattice="5.672 0.060 0.000 1.289 6.465 0.000 0.645 3.232 6.618" Properties=species:S:1:pos:R:3 comment="CsTiAgO3 PBE optimized geometry" crystal_system=monoclinic formation_energy_uncorrected_mev_per_atom=-1970 energy_ev_per_atom=-6.38 mass_density_g_cm3=4.62 pbc="T T T"
O 2.707 6.480 2.355
O 5.490 1.271 0.239
O 3.299 4.474 6.379
O 4.898 3.277 4.263
O 4.307 5.284 0.239
O 2.115 8.486 6.379
Cs 5.543 6.510 3.305
Cs 2.062 3.247 3.313
Ag 2.707 6.480 6.261
Ag 4.898 3.277 0.357
Ti 4.898 3.277 6.004
Ti 2.707 6.480 0.614

=====

[18]
5
Lattice="-5.983 0.786 -1.361 -1.191 -5.762 1.909 -0.829 1.705 4.628" Properties=species:S:1:pos:R:3 comment="Cs2TlAgO PBE optimized geometry" crystal_system=tetragonal formation_energy_uncorrected_mev_per_atom=-359 energy_ev_per_atom=-2.74 mass_density_g_cm3=5.15 pbc="T T T"
Cs -0.596 -2.881 0.955
Cs -2.991 0.393 -0.680
Tl -0.414 0.853 2.314
O 0.000 0.000 0.000
Ag -4.001 -1.635 2.588

=====

[19]
10
Lattice="5.570 0.000 0.000 0.000 6.603 0.000 0.000 -3.302 6.770" Properties=species:S:1:pos:R:3 comment="CsTlAgO2 PBE optimized geometry" crystal_system=orthorhombic formation_energy_uncorrected_mev_per_atom=-598 energy_ev_per_atom=-3.80 mass_density_g_cm3=6.36 pbc="T T T"
Tl 2.785 4.953 0.000
Tl 2.785 1.651 0.000
O 1.674 0.000 1.311
O 3.896 3.302 5.459
O 1.674 0.000 5.459
O 3.896 3.302 1.311
Ag 0.000 3.302 0.000
Ag 0.000 0.000 0.000
Cs 4.162 0.000 3.385
Cs 1.408 3.302 3.385